## TaCdNiO2 (PBE with a Hubbard U)

Data for a relaxed structure of TaCdNiO2. Values from VASP.

Computed properties:
Total energy: -22.33 eV for the cell shown
Symmetry: No. 123

```
&SYSTEM
  ibrav = 0, nat = 5, ntyp = 4
/
ATOMIC_SPECIES
Ni 58.69 Ni.upf
Cd 112.41 Cd.upf
O 16.00 O.upf
Ta 180.95 Ta.upf
CELL_PARAMETERS angstrom
3.911 0.000 0.000
0.000 4.717 0.000
0.000 0.000 3.911
ATOMIC_POSITIONS crystal
Ni 0.000 0.000 0.000
Cd 0.000 0.500 0.000
O 0.000 0.000 0.500
O 0.500 0.000 0.000
Ta 0.500 0.500 0.500
```